Record 1
CeDy3Ho after structural relaxation. Source: Alexandria, functional PBE-GGA.

a b c (Å): 6.096 6.096 10.697
angles (deg): 90.02 90.02 128.40
Fractional positions:
Ce: 0.123 0.877 0.000
Ce: 0.877 0.123 0.000
Dy: 0.000 0.000 0.329
Dy: 0.000 0.000 0.671
Dy: 0.347 0.653 0.190
Dy: 0.347 0.653 0.810
Dy: 0.653 0.347 0.190
Dy: 0.653 0.347 0.810
Ho: 0.344 0.656 0.500
Ho: 0.656 0.344 0.500

Results
E ... -46.874 eV for the cell shown
Excess energy over the best structure of this formula in the dataset ... 70 meV per atom
Total moment ... 0.00 Bohr magnetons per cell
Energy of formation from the pure elements ... 4.06 kcal/mol of atoms
Symmetry ... C2/m, No. 12


Record 2
CeDy2Ho7 after structural relaxation. Source: Alexandria, functional PBE-GGA.

a b c (Å): 9.416 9.416 5.344
angles (deg): 90.00 90.00 125.31
Fractional positions:
Ce: 0.000 0.000 0.000
Dy: 0.297 0.703 0.500
Dy: 0.703 0.297 0.500
Ho: 0.067 0.288 0.500
Ho: 0.202 0.798 0.000
Ho: 0.288 0.067 0.500
Ho: 0.500 0.500 0.500
Ho: 0.712 0.933 0.500
Ho: 0.798 0.202 0.000
Ho: 0.933 0.712 0.500

Results
E ... -39.851 eV for the cell shown
Total moment ... 1.28 Bohr magnetons per cell
Energy of formation from the pure elements ... 16.91 kcal/mol of atoms
Symmetry ... Cmmm, No. 65


Record 3
Ce2Dy2Ho7 after structural relaxation. Source: Alexandria, functional PBE-GGA.

a b c (Å): 7.981 7.981 6.000
angles (deg): 106.28 106.28 90.70
Fractional positions:
Ce: 0.229 0.229 0.086
Ce: 0.771 0.771 0.914
Dy: 0.213 0.787 0.000
Dy: 0.787 0.213 0.000
Ho: 0.000 0.000 0.500
Ho: 0.067 0.586 0.322
Ho: 0.413 0.413 0.696
Ho: 0.414 0.933 0.678
Ho: 0.586 0.067 0.322
Ho: 0.587 0.587 0.304
Ho: 0.933 0.414 0.678

Results
E ... -50.809 eV for the cell shown
Excess energy over the best structure of this formula in the dataset ... 5 meV per atom
Total moment ... 2.60 Bohr magnetons per cell
Energy of formation from the pure elements ... 4.84 kcal/mol of atoms
Symmetry ... C2/m, No. 12


Record 4
CeDy3Ho after structural relaxation. Source: Alexandria, functional PBE-GGA.

a b c (Å): 8.778 8.778 6.993
angles (deg): 90.06 90.06 35.64
Fractional positions:
Ce: 0.200 0.200 0.249
Ce: 0.800 0.800 0.751
Dy: 0.001 0.001 0.750
Dy: 0.201 0.201 0.750
Dy: 0.394 0.394 0.500
Dy: 0.606 0.606 0.500
Dy: 0.799 0.799 0.250
Dy: 0.999 0.999 0.250
Ho: 0.394 0.394 0.001
Ho: 0.606 0.606 0.999

Results
E ... -47.578 eV for the cell shown
Excess energy over the best structure of this formula in the dataset ... 0 meV per atom
Total moment ... 2.23 Bohr magnetons per cell
Energy of formation from the pure elements ... 2.44 kcal/mol of atoms
Symmetry ... C2/m, No. 12


Number 1: ρ 8.45 g/cm³. Number 2: ρ 6.96 g/cm³. Number 3: ρ 8.34 g/cm³. Number 4: ρ 8.38 g/cm³.